1.
## PrPaS2O (GGA-PBE)

Data for crystalline PrPaS2O at its relaxed geometry.

Structure (POSCAR):
```
PrPaS2O
1.0
3.933 0.000 0.000
0.000 3.933 0.000
0.000 0.000 13.682
Pr Pa S O
2 2 4 2
direct
0.250 0.250 0.093
0.750 0.750 0.907
0.250 0.250 0.605
0.750 0.750 0.395
0.250 0.250 0.395
0.250 0.250 0.793
0.750 0.750 0.207
0.750 0.750 0.605
0.250 0.750 0.000
0.750 0.250 0.000
```

Properties
raw total energy: -77.961 eV/cell
formation energy from raw total energies: -2.30 eV per atom
space group: P4/nmm

---

2.
## Tb6SnBi2 (GGA-PBE)

Data for crystalline Tb6SnBi2 at its relaxed geometry.

Structure (POSCAR):
```
Tb6SnBi2
1.0
6.366 0.000 0.000
0.000 8.398 0.000
-6.303 0.000 10.469
Tb Sn Bi
12 2 4
direct
0.065 0.201 0.451
0.065 0.299 0.951
0.322 0.659 0.455
0.322 0.841 0.955
0.365 0.039 0.227
0.365 0.461 0.727
0.635 0.539 0.273
0.635 0.961 0.773
0.678 0.159 0.045
0.678 0.341 0.545
0.935 0.701 0.049
0.935 0.799 0.549
0.500 0.000 0.500
0.500 0.500 0.000
0.140 0.113 0.742
0.140 0.387 0.242
0.860 0.613 0.758
0.860 0.887 0.258
```

Properties
formation enthalpy at 0 K: -466.7 meV per atom
raw total energy: -87.493 eV/cell
space group: P2_1/c

---

3.
## MgNiH2 (GGA-PBE)

Data for crystalline MgNiH2 at its relaxed geometry.

Structure (POSCAR):
```
MgNiH2
1.0
3.258 0.000 0.000
0.000 3.258 0.000
0.000 0.000 3.261
Mg Ni H
1 1 2
direct
0.000 0.000 0.000
0.500 0.500 0.500
0.000 0.500 0.500
0.500 0.000 0.500
```

Properties
raw total energy: -14.954 eV/cell
energy relative to the lowest polymorph listed for this composition: 0.00 eV/f.u.
space group: P4/mmm

---

4.
## TbNd7 (GGA-PBE)

Data for crystalline TbNd7 at its relaxed geometry.

Structure (POSCAR):
```
TbNd7
1.0
0.000 5.182 5.182
5.182 0.000 5.182
5.182 5.182 0.000
Tb Nd
1 7
direct
0.000 0.000 0.000
0.000 0.000 0.500
0.000 0.500 0.000
0.000 0.500 0.500
0.500 0.000 0.000
0.500 0.000 0.500
0.500 0.500 0.000
0.500 0.500 0.500
```

Properties
formation enthalpy at 0 K: 7.6 meV per atom
raw total energy: -37.944 eV/cell
space group: Fm-3m

---

5.
## NiRhS2N (GGA-PBE)

Data for crystalline NiRhS2N at its relaxed geometry.

Structure (POSCAR):
```
NiRhS2N
1.0
4.832 0.000 0.000
0.000 4.832 0.000
0.000 0.000 3.591
Ni Rh S N
1 1 2 1
direct
0.000 0.000 0.000
0.500 0.500 0.500
0.000 0.500 0.500
0.500 0.000 0.500
0.500 0.500 0.000
```

Properties
raw total energy: -25.390 eV/cell
energy relative to the lowest polymorph listed for this composition: 0.39 eV/f.u.
formation energy from raw total energies: 0.86 eV per atom
space group: P4/mmm

---

6.
## RbAg4Sb2 (GGA-PBE)

Data for crystalline RbAg4Sb2 at its relaxed geometry.

Structure (POSCAR):
```
RbAg4Sb2
1.0
2.369 1.368 9.697
-2.369 1.368 9.697
0.000 -2.736 9.697
Rb Ag Sb
1 4 2
direct
0.000 0.000 0.000
0.144 0.144 0.144
0.444 0.444 0.444
0.556 0.556 0.556
0.856 0.856 0.856
0.244 0.244 0.244
0.756 0.756 0.756
```

Properties
raw total energy: -21.597 eV/cell
energy relative to the lowest polymorph listed for this composition: 0.00 eV/f.u.
formation energy from raw total energies: -0.14 eV per atom
space group: R-3m

---

7.
## CuTcMo2 (GGA-PBE)

Data for crystalline CuTcMo2 at its relaxed geometry.

Structure (POSCAR):
```
CuTcMo2
1.0
-1.964 1.964 3.799
1.964 -1.964 3.799
1.964 1.964 -3.799
Cu Tc Mo
1 1 2
direct
0.000 0.000 0.000
0.250 0.750 0.500
0.500 0.500 0.000
0.750 0.250 0.500
```

Properties
formation enthalpy at 0 K: 232.0 meV per atom
raw total energy: -35.197 eV/cell
energy relative to the lowest polymorph listed for this composition: 0.35 eV/f.u.
space group: I-4m2

---

8.
## Rb2IrBr4Cl2 (GGA-PBE)

Data for crystalline Rb2IrBr4Cl2 at its relaxed geometry.

Structure (POSCAR):
```
Rb2IrBr4Cl2
1.0
6.465 -3.713 0.000
6.465 3.713 0.000
-4.266 0.000 6.087
Rb Ir Br Cl
2 1 4 2
direct
0.250 0.250 0.248
0.750 0.750 0.752
0.500 0.500 0.000
0.261 0.737 0.761
0.263 0.739 0.239
0.737 0.261 0.761
0.739 0.263 0.239
0.278 0.278 0.781
0.722 0.722 0.219
```

Properties
raw total energy: -30.367 eV/cell
formation energy from raw total energies: -1.02 eV per atom
space group: C2/m

---

9.
## AlTcHg2 (GGA-PBE)

Data for crystalline AlTcHg2 at its relaxed geometry.

Structure (POSCAR):
```
AlTcHg2
1.0
5.025 -1.522 0.000
5.025 1.522 0.000
-1.000 0.000 4.772
Al Tc Hg
1 1 2
direct
0.000 0.000 0.000
0.500 0.500 0.500
0.245 0.245 0.745
0.755 0.755 0.255
```

Properties
formation enthalpy at 0 K: 402.6 meV per atom
raw total energy: -13.102 eV/cell
space group: C2/m

---

10.
## La2PmNi9 (GGA-PBE)

Data for crystalline La2PmNi9 at its relaxed geometry.

Structure (POSCAR):
```
La2PmNi9
1.0
2.513 1.451 8.365
-2.513 1.451 8.365
0.000 -2.901 8.365
La Pm Ni
2 1 9
direct
0.138 0.138 0.138
0.862 0.862 0.862
0.000 0.000 0.000
0.081 0.579 0.579
0.333 0.333 0.333
0.421 0.421 0.919
0.421 0.919 0.421
0.500 0.500 0.500
0.579 0.081 0.579
0.579 0.579 0.081
0.667 0.667 0.667
0.919 0.421 0.421
```

Properties
formation enthalpy at 0 K: -326.1 meV per atom
raw total energy: -70.551 eV/cell
space group: R-3m

---

11.
## ScCd2Ag2 (GGA-PBE)

Data for crystalline ScCd2Ag2 at its relaxed geometry.

Structure (POSCAR):
```
ScCd2Ag2
1.0
-1.991 1.991 6.851
1.991 -1.991 6.851
1.991 1.991 -6.851
Sc Cd Ag
1 2 2
direct
0.000 0.000 0.000
0.250 0.750 0.500
0.750 0.250 0.500
0.403 0.403 0.000
0.597 0.597 0.000
```

Properties
formation enthalpy at 0 K: -21.3 meV per atom
raw total energy: -13.971 eV/cell
energy relative to the lowest polymorph listed for this composition: 0.74 eV/f.u.
space group: I4/mmm

---

12.
## Cs2SrP2 (GGA-PBE)

Data for crystalline Cs2SrP2 at its relaxed geometry.

Structure (POSCAR):
```
Cs2SrP2
1.0
-2.380 2.380 7.539
2.380 -2.380 7.539
2.380 2.380 -7.539
Cs Sr P
2 1 2
direct
0.250 0.750 0.500
0.750 0.250 0.500
0.000 0.000 0.000
0.427 0.427 0.000
0.573 0.573 0.000
```

Properties
formation enthalpy at 0 K: -206.6 meV per atom
raw total energy: -15.242 eV/cell
energy relative to the lowest polymorph listed for this composition: 0.77 eV/f.u.
space group: I4/mmm